1.
Computed, not measured: a relaxed CePd6Pt2 crystal at the PBE level of DFT.

Computed properties:
* VASP energy: -5.892 eV per atom
* polymorph energy (0 for the lowest one): 0.0 meV per atom
* density: 13.04 g cm⁻³
* ΔH_f (0 K): -3.860 eV/f.u.
* spin magnetization: 0.000 μB/atom

Unit cell a=4.0628 b=6.3837 c=8.5882 alpha=76.71 beta=44.80 gamma=71.44
Fractional positions:
Ce  0.0000  0.5000  0.5000
Pd  0.9914  0.5002  0.8389
Pd  0.0086  0.4998  0.1611
Pd  0.3371  0.8367  0.1633
Pd  0.3303  0.8389  0.5002
Pd  0.6629  0.1633  0.8367
Pd  0.6697  0.1611  0.4998
Pt  0.3309  0.8345  0.8345
Pt  0.6691  0.1655  0.1655

---

2.
Computed, not measured: a relaxed VCd3N crystal at the PBE level of DFT.

Computed properties:
* VASP energy: -3.171 eV per atom
* polymorph energy (0 for the lowest one): 0.0 meV per atom
* E_form (uncorrected): 0.8671 eV/atom
* density: 6.76 g cm⁻³
* spin magnetization: 0.827 μB/atom

Unit cell a=4.6219 b=4.6219 c=4.6219 alpha=90.00 beta=90.00 gamma=90.00
Site moments in Bohr magnetons follow the coordinates.
Fractional positions:
Cd  0.0000  0.5000  0.0000  0.02
Cd  0.0000  0.0000  0.5000  0.02
Cd  0.5000  0.0000  0.0000  0.02
V  0.5000  0.5000  0.5000  2.93
N  0.0000  0.0000  0.0000  0.25

---

3.
Computed, not measured: a relaxed MoWSe2 crystal at the PBE level of DFT.

Computed properties:
* VASP energy: -6.977 eV per atom
* polymorph energy (0 for the lowest one): 866.4 meV per atom
* E_form (uncorrected): 0.7114 eV/atom
* density: 7.93 g cm⁻³
* spin magnetization: 0.574 μB/atom

Unit cell a=5.7648 b=5.7648 c=6.8585 alpha=65.15 beta=65.15 gamma=90.00
Site moments in Bohr magnetons follow the coordinates.
Fractional positions:
Mo  0.5000  0.5000  0.0000  1.13
Mo  0.2500  0.7500  0.5000  1.13
Se  0.6286  0.1250  0.2500  -0.02
Se  0.1214  0.6250  0.2500  -0.02
Se  0.3750  0.3714  0.7500  -0.02
Se  0.8750  0.8786  0.7500  -0.02
W  0.0000  0.0000  0.0000  0.83
W  0.7500  0.2500  0.5000  0.83

---

4.
Computed, not measured: a relaxed PrGe3Rh crystal at the PBE level of DFT.

Computed properties:
* VASP energy: -5.908 eV per atom
* polymorph energy (0 for the lowest one): 0.0 meV per atom
* density: 7.67 g cm⁻³
* ΔH_f (0 K): -3.559 eV/f.u.
* spin magnetization: 0.000 μB/atom

Unit cell a=5.9717 b=5.9717 c=5.9717 alpha=136.42 beta=136.42 gamma=63.33
Fractional positions:
Pr  0.0029  0.0029  0.0000
Ge  0.7388  0.2388  0.5000
Ge  0.2388  0.7388  0.5000
Ge  0.5800  0.5800  0.0000
Rh  0.3429  0.3429  0.0000

---

> Which of these has the highest density?

CePd6Pt2

---

Please write out number 1 again, unchanged.
Computed, not measured: a relaxed CePd6Pt2 crystal at the PBE level of DFT.

Computed properties:
* VASP energy: -5.892 eV per atom
* polymorph energy (0 for the lowest one): 0.0 meV per atom
* density: 13.04 g cm⁻³
* ΔH_f (0 K): -3.860 eV/f.u.
* spin magnetization: 0.000 μB/atom

Unit cell a=4.0628 b=6.3837 c=8.5882 alpha=76.71 beta=44.80 gamma=71.44
Fractional positions:
Ce  0.0000  0.5000  0.5000
Pd  0.9914  0.5002  0.8389
Pd  0.0086  0.4998  0.1611
Pd  0.3371  0.8367  0.1633
Pd  0.3303  0.8389  0.5002
Pd  0.6629  0.1633  0.8367
Pd  0.6697  0.1611  0.4998
Pt  0.3309  0.8345  0.8345
Pt  0.6691  0.1655  0.1655

---

> What is the density in the first record?

13.04 g cm⁻³

---

Repeat the fourth record exactly.
Computed, not measured: a relaxed PrGe3Rh crystal at the PBE level of DFT.

Computed properties:
* VASP energy: -5.908 eV per atom
* polymorph energy (0 for the lowest one): 0.0 meV per atom
* density: 7.67 g cm⁻³
* ΔH_f (0 K): -3.559 eV/f.u.
* spin magnetization: 0.000 μB/atom

Unit cell a=5.9717 b=5.9717 c=5.9717 alpha=136.42 beta=136.42 gamma=63.33
Fractional positions:
Pr  0.0029  0.0029  0.0000
Ge  0.7388  0.2388  0.5000
Ge  0.2388  0.7388  0.5000
Ge  0.5800  0.5800  0.0000
Rh  0.3429  0.3429  0.0000